# 1
A PBEsol-optimized structure of Ba2GdGaSe5, computed with meta-GGA SCAN.

a b c (Å): 7.2657 8.6763 9.3557
angles (deg): 103.59 103.21 107.50
Closest atoms and distances in Å follow each position.
Sites, in units of the cell vectors:
Gd 0.9985 0.7327 0.9981  6 Se 2.81-3.00
Gd 0.0015 0.2673 0.0019  6 Se 2.81-3.00
Ba 0.6353 0.9788 0.2913  8 Se 3.22-3.60
Ba 0.3445 0.5110 0.7081  8 Se 3.24-3.54
Ba 0.6555 0.4890 0.2919  8 Se 3.24-3.54
Ba 0.3647 0.0212 0.7087  8 Se 3.22-3.60
Se 0.0184 0.8470 0.3170  1 Ga 2.41
Se 0.7029 0.4101 0.9425  2 Gd 2.81-2.82
Se 0.2904 0.0919 0.0721  1 Ga 2.49
Se 0.7096 0.9081 0.9279  1 Ga 2.49
Se 0.9816 0.1530 0.6830  1 Ga 2.41
Se 0.4843 0.7394 0.4905  1 Ga 2.36
Se 0.5157 0.2606 0.5095  1 Ga 2.36
Se 0.9861 0.6800 0.6804  1 Ga 2.41
Se 0.0139 0.3200 0.3196  1 Ga 2.41
Se 0.2971 0.5899 0.0575  2 Gd 2.81-2.82
Ga 0.8053 0.8714 0.6866  4 Se 2.36-2.49
Ga 0.1947 0.1286 0.3134  4 Se 2.36-2.49

Summary:
Its total magnetization is 14.0 μB per cell. The final energy comes out at -30.15 eV/atom. The calculated volume comes out at 28.75 Å³/atom.

# 2
A PBEsol-optimized structure of Ba3Ga2Ge4O14, computed with meta-GGA SCAN.

a b c (Å): 5.0249 8.5957 8.5957
angles (deg): 120.00 90.00 90.00
Closest atoms and distances in Å follow each position.
Sites, in units of the cell vectors:
O 0.7698 0.9048 0.7948  2 Ge 1.77-1.92
O 0.2302 0.7948 0.9048  2 Ge 1.77-1.92
O 0.2302 0.0952 0.8900  2 Ge 1.77-1.92
O 0.3482 0.4469 0.1644  1 Ge 1.78, 1 Ga 1.88
O 0.2302 0.1100 0.2052  2 Ge 1.77-1.92
O 0.3482 0.7175 0.5531  1 Ge 1.78, 1 Ga 1.88
O 0.7698 0.2052 0.1100  2 Ge 1.77-1.92
O 0.1477 0.3333 0.6667  1 Ga 1.77
O 0.3482 0.8356 0.2825  1 Ge 1.78, 1 Ga 1.88
O 0.7698 0.8900 0.0952  2 Ge 1.77-1.92
O 0.6518 0.1644 0.4469  1 Ge 1.78, 1 Ga 1.88
O 0.6518 0.5531 0.7175  1 Ge 1.78, 1 Ga 1.88
O 0.6518 0.2825 0.8356  1 Ge 1.78, 1 Ga 1.88
O 0.8523 0.6667 0.3333  1 Ga 1.77
Ga 0.5008 0.6667 0.3333  4 O 1.77-1.88
Ga 0.4992 0.3333 0.6667  4 O 1.77-1.88
Ba 0.0000 0.5718 0.0000  8 O 2.66-2.93
Ba 0.0000 0.4282 0.4282  8 O 2.66-2.93
Ba 0.0000 0.0000 0.5718  8 O 2.66-2.93
Ge 0.5000 0.0000 0.2433  4 O 1.77-1.78
Ge 0.5000 0.2433 0.0000  4 O 1.77-1.78
Ge 0.0000 0.0000 0.0000  6 O 1.92
Ge 0.5000 0.7567 0.7567  4 O 1.77-1.78

Summary:
Its total magnetization is 0.0 μB per cell. The final energy comes out at -15.99 eV/atom. The calculated volume comes out at 13.98 Å³/atom.

# 3
A PBEsol-optimized structure of BaGaGe2Rh, computed with meta-GGA SCAN.

a b c (Å): 4.7641 4.9546 4.9546
angles (deg): 90.00 90.00 90.00
Closest atoms and distances in Å follow each position.
Sites, in units of the cell vectors:
Rh 0.5000 0.0000 0.0000  2 Ga 2.38
Ga 0.0000 0.0000 0.0000  2 Rh 2.38, 4 Ge 2.48
Ge 0.0000 0.5000 0.0000  2 Ga 2.48
Ge 0.0000 0.0000 0.5000  2 Ga 2.48
Ba 0.5000 0.5000 0.5000  8 Ge 3.44, 4 Rh 3.50

Summary:
Its total magnetization is 0.0 μB per cell. The energy relative to the elements comes out at 63 meV per atom. The final energy comes out at -25.51 eV/atom. The calculated volume comes out at 23.39 Å³/atom.

# 4
A PBEsol-optimized structure of BaGa3H, computed with meta-GGA SCAN.

a b c (Å): 4.6652 4.6652 4.6652
angles (deg): 90.00 90.00 90.00
Closest atoms and distances in Å follow each position.
Sites, in units of the cell vectors:
Ba 0.5000 0.5000 0.5000  12 Ga 3.30
H 0.0000 0.0000 0.0000  6 Ga 2.33
Ga 0.0000 0.5000 0.0000  2 H 2.33
Ga 0.0000 0.0000 0.5000  2 H 2.33
Ga 0.5000 0.0000 0.0000  2 H 2.33

Summary:
Its total magnetization is 0.0 μB per cell. The final energy comes out at -18.22 eV/atom. The calculated volume comes out at 20.31 Å³/atom.

# 5
A PBEsol-optimized structure of BaGaSiH, computed with meta-GGA SCAN.

a b c (Å): 4.2540 4.2540 5.1079
angles (deg): 90.00 90.00 120.00
Closest atoms and distances in Å follow each position.
Sites, in units of the cell vectors:
Si 0.6667 0.3333 0.5422  3 Ga 2.49
H 0.3333 0.6667 0.1212  1 Ga 1.74
Ba 0.0000 0.0000 0.0009  3 H 2.53
Ga 0.3333 0.6667 0.4620  1 H 1.74

Summary:
Its total magnetization is 0.0 μB per cell. The final energy comes out at -17.82 eV/atom. The calculated volume comes out at 20.01 Å³/atom.

# 6
A PBEsol-optimized structure of BaMgGaHg2, computed with meta-GGA SCAN.

a b c (Å): 5.9695 6.1149 6.1149
angles (deg): 90.00 90.00 90.00
Closest atoms and distances in Å follow each position.
Sites, in units of the cell vectors:
Mg 0.5000 0.5000 0.5000  8 Hg 4.27, 4 Ga 4.32
Ga 0.5000 0.0000 0.0000  2 Ba 2.98
Hg 0.0000 0.0000 0.5000  2 Ba 3.06
Hg 0.0000 0.5000 0.0000  2 Ba 3.06
Ba 0.0000 0.0000 0.0000  2 Ga 2.98, 4 Hg 3.06

Summary:
Its total magnetization is 0.0 μB per cell. The energy relative to the elements comes out at 622 meV per atom. The final energy comes out at -38.82 eV/atom. The calculated volume comes out at 44.64 Å³/atom.

# 7
A PBEsol-optimized structure of BaGaHg2O, computed with meta-GGA SCAN.

a b c (Å): 6.3042 6.4679 6.4679
angles (deg): 90.00 90.00 90.00
Closest atoms and distances in Å follow each position.
Sites, in units of the cell vectors:
Ga 0.5000 0.0000 0.0000  2 Ba 3.15
Hg 0.0000 0.0000 0.5000  2 Ba 3.23
Hg 0.0000 0.5000 0.0000  2 Ba 3.23
Ba 0.0000 0.0000 0.0000  2 Ga 3.15, 4 Hg 3.23
O 0.5000 0.5000 0.5000  8 Hg 4.52, 4 Ga 4.57

Summary:
Its total magnetization is 0.8 μB per cell. The final energy comes out at -38.82 eV/atom. The calculated volume comes out at 52.75 Å³/atom.

# 8
A PBEsol-optimized structure of Ba6Ho2Ga4O15, computed with meta-GGA SCAN.

a b c (Å): 5.9484 7.9201 18.3807
angles (deg): 91.31 90.00 90.00
Closest atoms and distances in Å follow each position.
Sites, in units of the cell vectors:
O 0.4512 0.2472 0.3374  1 Ga 1.87
O 0.8091 0.0000 0.7500  2 Ga 1.86
O 0.2447 0.4694 0.5902  1 Ga 1.86
O 0.4512 0.7528 0.1626  1 Ga 1.87
O 0.5488 0.2472 0.8374  1 Ga 1.87
O 0.6615 0.6906 0.8178  1 Ga 1.81
O 0.9855 0.2331 0.9919  1 Ga 1.88
O 0.0437 0.2790 0.8100  1 Ga 1.83
O 0.5138 0.2335 0.5020  1 Ga 1.86
O 0.0145 0.2331 0.4919  1 Ga 1.88
O 0.0145 0.7669 0.0081  1 Ga 1.88
O 0.4862 0.2335 0.0020  1 Ga 1.86
O 0.5138 0.7665 0.9980  1 Ga 1.86
O 0.0437 0.7210 0.6900  1 Ga 1.83
O 0.7553 0.4694 0.0902  1 Ga 1.86
O 0.4862 0.7665 0.4980  1 Ga 1.86
O 0.2328 0.0447 0.6084  1 Ga 1.86
O 0.6615 0.3094 0.6822  1 Ga 1.81
O 0.9855 0.7669 0.5081  1 Ga 1.88
O 0.7672 0.0447 0.1084  1 Ga 1.86
O 0.3385 0.6906 0.3178  1 Ga 1.81
O 0.1909 0.0000 0.2500  2 Ga 1.86
O 0.5488 0.7528 0.6626  1 Ga 1.87
O 0.2447 0.5306 0.9098  1 Ga 1.86
O 0.9563 0.7210 0.1900  1 Ga 1.83
O 0.9563 0.2790 0.3100  1 Ga 1.83
O 0.3385 0.3094 0.1822  1 Ga 1.81
O 0.2328 0.9553 0.8916  1 Ga 1.86
O 0.7672 0.9553 0.3916  1 Ga 1.86
O 0.7553 0.5306 0.4098  1 Ga 1.86
Ho 0.2516 0.7533 0.5899  6 O 2.19-2.33
Ho 0.7484 0.7533 0.0899  6 O 2.19-2.33
Ho 0.7484 0.2467 0.4101  6 O 2.19-2.33
Ho 0.2516 0.2467 0.9101  6 O 2.19-2.33
Ba 0.2496 0.0253 0.0897  7 O 2.72-2.98
Ba 0.2461 0.4994 0.4221  2 O 2.53-2.79
Ba 0.7539 0.5006 0.5779  2 O 2.53-2.79
Ba 0.7504 0.9747 0.9103  7 O 2.72-2.98
Ba 0.7199 0.0000 0.2500  5 O 2.65-2.82
Ba 0.7504 0.0253 0.5897  7 O 2.72-2.98
Ba 0.7539 0.4994 0.9221  2 O 2.53-2.79
Ba 0.2496 0.9747 0.4103  7 O 2.72-2.98
Ba 0.6702 0.5000 0.2500  8 O 2.70-2.98
Ba 0.2461 0.5006 0.0779  2 O 2.53-2.79
Ba 0.2801 0.0000 0.7500  5 O 2.65-2.82
Ba 0.3298 0.5000 0.7500  8 O 2.70-2.98
Ga 0.7459 0.2453 0.0586  4 O 1.86-1.88
Ga 0.2264 0.2306 0.2664  4 O 1.81-1.87
Ga 0.2541 0.2453 0.5586  4 O 1.86-1.88
Ga 0.7459 0.7547 0.4414  4 O 1.86-1.88
Ga 0.2541 0.7547 0.9414  4 O 1.86-1.88
Ga 0.2264 0.7694 0.2336  4 O 1.81-1.87
Ga 0.7736 0.7694 0.7336  4 O 1.81-1.87
Ga 0.7736 0.2306 0.7664  4 O 1.81-1.87

Summary:
Its total magnetization is 0.0 μB per cell. The final energy comes out at -21.18 eV/atom. The calculated volume comes out at 16.03 Å³/atom.

# 9
A PBEsol-optimized structure of BaGaI3, computed with meta-GGA SCAN.

a b c (Å): 6.5799 6.5799 6.5799
angles (deg): 90.00 90.00 90.00
Closest atoms and distances in Å follow each position.
Sites, in units of the cell vectors:
I 0.0000 0.0000 0.5000  2 Ba 3.29
I 0.0000 0.5000 0.0000  2 Ba 3.29
I 0.5000 0.0000 0.0000  2 Ba 3.29
Ga 0.5000 0.5000 0.5000  12 I 4.65
Ba 0.0000 0.0000 0.0000  6 I 3.29

Summary:
Its total magnetization is 0.0 μB per cell. The final energy comes out at -34.15 eV/atom. The calculated volume comes out at 56.98 Å³/atom.

# 10
A PBEsol-optimized structure of BaInGa, computed with meta-GGA SCAN.

a b c (Å): 5.0050 6.2923 6.3417
angles (deg): 79.78 66.76 66.57
Closest atoms and distances in Å follow each position.
Sites, in units of the cell vectors:
Ga 0.9331 0.2179 0.9159  1 Ga 2.68, 3 In 2.90-2.95
Ga 0.0669 0.7821 0.0841  1 Ga 2.68, 3 In 2.90-2.95
In 0.4216 0.4104 0.7464  3 Ga 2.90-2.95, 1 In 3.03
In 0.5784 0.5896 0.2536  3 Ga 2.90-2.95, 1 In 3.03
Ba 0.7503 0.8078 0.6916  6 Ga 3.39-3.70, 4 In 3.40-3.50
Ba 0.2497 0.1922 0.3084  6 Ga 3.39-3.70, 4 In 3.40-3.50

Summary:
Its total magnetization is 0.0 μB per cell. The energy relative to the elements comes out at -569 meV per atom. The final energy comes out at -30.33 eV/atom. The calculated volume comes out at 28.05 Å³/atom.

# 11
A PBEsol-optimized structure of Ba3InGa, computed with meta-GGA SCAN.

a b c (Å): 6.5183 6.5183 6.5183
angles (deg): 90.00 90.00 90.00
Closest atoms and distances in Å follow each position.
Sites, in units of the cell vectors:
Ba 0.0000 0.5000 0.0000  2 In 3.26
Ba 0.5000 0.0000 0.0000  2 In 3.26
Ba 0.0000 0.0000 0.5000  2 In 3.26
Ga 0.5000 0.5000 0.5000  12 Ba 4.61
In 0.0000 0.0000 0.0000  6 Ba 3.26

Summary:
Its total magnetization is 3.0 μB per cell. The energy relative to the elements comes out at 134 meV per atom. The final energy comes out at -33.54 eV/atom. The calculated volume comes out at 55.39 Å³/atom.

# 12
A PBEsol-optimized structure of Ba2InGa2, computed with meta-GGA SCAN.

a b c (Å): 3.7978 3.7978 11.1450
angles (deg): 99.81 99.81 90.00
Closest atoms and distances in Å follow each position.
Sites, in units of the cell vectors:
Ga 0.7500 0.2500 0.5000  4 Ga 2.69
Ga 0.2500 0.7500 0.5000  4 Ga 2.69
In 0.0000 0.0000 0.0000  8 Ba 3.60, 4 In 3.80
Ba 0.6106 0.6106 0.2212  4 Ga 3.56, 4 In 3.60, 4 Ba 3.80
Ba 0.3894 0.3894 0.7788  4 Ga 3.56, 4 In 3.60, 4 Ba 3.80

Summary:
Its total magnetization is 0.0 μB per cell. The energy relative to the elements comes out at -292 meV per atom. The final energy comes out at -29.33 eV/atom. The calculated volume comes out at 31.20 Å³/atom.

> Among the records above, which one has the highest calculated volume?

BaGaI3